This record from the Alexandria database describes a geometry-optimized MnCu2Au2 structure. The functional is PBE.

## Properties
**Formation energy from the elements**: -1.00 kcal/mol of atoms
**Calculated density**: 12.74 g/cm3

Lattice parameters (Å, degrees): 8.7997 3.8514 6.2294 90.00 134.67 90.00
With the nearest neighbours (Å) after each atom.
Space group C2/m (No. 12)
Symmetry-distinct sites (fractional):
Mn: 0.0000 0.0000 0.0000 x2  6 Au 2.71-2.87, 6 Cu 2.77
Cu: 0.2006 0.0000 0.5955 x4  6 Au 2.69-2.82, 3 Cu 2.71-2.82, 3 Mn 2.77
Au: 0.0892 0.5000 0.7955 x4  6 Cu 2.69-2.82, 3 Mn 2.71-2.87, 3 Au 2.81-2.84